Here is a geometry-optimized MnRh3Se structure from Alexandria via LeMat-Bulk. Energies are from PBE-GGA.

a b c (Å): 4.5426 4.5426 4.5426
angles (deg): 90.00 90.00 90.00
Space group Pm-3m (No. 221)
Inequivalent atoms, fractional coordinates:
1 Mn 0.0000 0.0000 0.0000 x1
2 Rh 0.0000 0.5000 0.5000 x3
3 Se 0.5000 0.5000 0.5000 x1

Its final energy is -32.23 eV per cell. The calculation puts the uncorrected formation energy at 0.496 eV/atom.


Here is a geometry-optimized VFeSb structure from Alexandria via LeMat-Bulk. Energies are from PBE-GGA.

a b c (Å): 4.3874 4.3874 5.3138
angles (deg): 90.00 90.00 120.00
Space group P6_3/mmc (No. 194)
Inequivalent atoms, fractional coordinates:
1 V 0.0000 0.0000 0.0000 x2
2 Fe 0.3333 0.6667 0.2500 x2
3 Sb 0.3333 0.6667 0.7500 x2

Its final energy is -42.91 eV per cell. The calculation puts the uncorrected formation energy at 0.083 eV/atom.


Here is a geometry-optimized Cs4K2Na2Hg structure from Alexandria via LeMat-Bulk. Energies are from PBE-GGA.

a b c (Å): 9.4783 9.5006 9.6229
angles (deg): 113.78 97.53 115.96
Space group P-1 (No. 2)
Inequivalent atoms, fractional coordinates:
1 Cs 0.1927 0.4978 0.1910 x2
2 Cs 0.2582 0.0039 0.7787 x2
3 K 0.2954 0.4774 0.6748 x2
4 Na 0.2711 0.0516 0.2817 x2
5 Hg 0.5000 0.0000 0.5000 x1

The value obtained for the energy relative to the elements is -0.03 eV/atom. Its final energy is -8.79 eV per cell.